# 1
This record from Alexandria describes an optimized crystal structure of Cs2CaCeI6. The functional is PBE.

Crystal system ... orthorhombic
ΔE_f (raw) ... -1.41 eV per atom

Unit cell a=8.8955 b=8.9169 c=12.5991 alpha=90.00 beta=90.00 gamma=90.00
Element x y z (fractional)
Ca 0.5000 0.2474 0.5000
Ca 0.0000 0.7526 0.0000
I 0.2477 0.5076 0.0000
I 0.5000 0.2476 0.2535
I 0.2459 0.9999 0.0000
I 0.7523 0.5076 0.0000
I 0.2541 0.0001 0.5000
I 0.0000 0.7524 0.2465
I 0.0000 0.7524 0.7535
I 0.7541 0.9999 0.0000
I 0.7459 0.0001 0.5000
I 0.2523 0.4924 0.5000
I 0.5000 0.2476 0.7465
I 0.7477 0.4924 0.5000
Cs 0.0000 0.2436 0.2547
Cs 0.0000 0.2436 0.7453
Cs 0.5000 0.7564 0.2453
Cs 0.5000 0.7564 0.7547
Ce 0.0000 0.7468 0.5000
Ce 0.5000 0.2532 0.0000

# 2
This record from Alexandria describes an optimized crystal structure of TePdPt. The functional is PBE.

Crystal system ... trigonal
ΔE_f (raw) ... -0.05 eV per atom

Unit cell a=3.0550 b=4.6016 c=4.6016 alpha=120.00 beta=90.00 gamma=90.00
Element x y z (fractional)
Pd 0.9981 0.0000 0.0000
Te 0.5021 0.6667 0.3333
Pt 0.4998 0.3333 0.6667

# 3
This record from Alexandria describes an optimized crystal structure of Mg2Cd8Hg3. The functional is PBE.

Crystal system ... trigonal
E_tot ... -10.7 eV per formula unit

Unit cell a=5.7548 b=5.7548 c=11.6089 alpha=75.65 beta=75.65 gamma=60.00
Element x y z (fractional)
Cd 0.7295 0.2302 0.3107
Cd 0.7295 0.7295 0.3107
Cd 0.7257 0.7257 0.8230
Cd 0.7698 0.2705 0.6893
Cd 0.2743 0.2743 0.1770
Cd 0.2705 0.7698 0.6893
Cd 0.2705 0.2705 0.6893
Cd 0.2302 0.7295 0.3107
Hg 0.0000 0.0000 0.0000
Hg 0.1821 0.1821 0.4537
Hg 0.8179 0.8179 0.5463
Mg 0.3578 0.3578 0.9265
Mg 0.6422 0.6422 0.0735

# 4
This record from Alexandria describes an optimized crystal structure of Al2SbF. The functional is PBE.

Crystal system ... cubic
ΔE_f (raw) ... -0.54 eV per atom
Distance to the lowest polymorph of the same formula ... 97.9 meV per atom

Unit cell a=4.7119 b=4.7119 c=4.7119 alpha=60.00 beta=60.00 gamma=60.00
Element x y z (fractional)
Al 0.2500 0.2500 0.2500
Al 0.7500 0.7500 0.7500
Sb 0.5000 0.5000 0.5000
F 0.0000 0.0000 0.0000

# 5
This record from Alexandria describes an optimized crystal structure of Sn5Hg. The functional is PBE.

Crystal system ... orthorhombic
Distance to the lowest polymorph of the same formula ... 12.1 meV per atom

Unit cell a=3.5337 b=5.5930 c=8.6900 alpha=108.77 beta=90.00 gamma=90.00
Element x y z (fractional)
Sn 0.5000 0.8364 0.6728
Sn 0.0000 0.3306 0.6612
Sn 0.5000 0.1636 0.3272
Sn 0.5000 0.5000 0.0000
Sn 0.0000 0.6694 0.3388
Hg 0.0000 0.0000 0.0000

# 6
This record from Alexandria describes an optimized crystal structure of La6ZnGa2. The functional is PBE.

Crystal system ... tetragonal
Distance to the lowest polymorph of the same formula ... 250.1 meV per atom

Unit cell a=7.6970 b=7.6970 c=11.1366 alpha=90.00 beta=90.00 gamma=90.00
Element x y z (fractional)
Ga 0.0000 0.0000 0.6609
Ga 0.0000 0.0000 0.3391
Ga 0.5000 0.5000 0.8391
Ga 0.5000 0.5000 0.1609
La 0.7222 0.7222 0.0000
La 0.2222 0.7778 0.5000
La 0.7799 0.2201 0.1691
La 0.2799 0.2799 0.6691
La 0.7201 0.7201 0.3309
La 0.2799 0.2799 0.3309
La 0.2201 0.7799 0.8309
La 0.7799 0.2201 0.8309
La 0.2778 0.2778 0.0000
La 0.7778 0.2222 0.5000
La 0.7201 0.7201 0.6691
La 0.2201 0.7799 0.1691
Zn 0.5000 0.5000 0.5000
Zn 0.0000 0.0000 0.0000